No. 1
DFT (meta-GGA SCAN) results for TlSiI3 at its PBEsol-relaxed geometry.

POSCAR file:
```
TlSiI3
1.0
-2.4568 -0.3186 -5.0208
-0.1390 -5.5811 0.4221
-5.0290 0.3099 2.4411
Si I Tl
1 3 1
Direct
0.0000 0.0000 0.0000
0.5000 0.0000 0.0000
0.0000 0.0000 0.5000
0.0000 0.5000 0.0000
0.5000 0.5000 0.5000
```

For the formation energy without anion corrections, the calculation gives -19.05 kJ/mol of atoms.

No. 2
DFT (meta-GGA SCAN) results for SrNb3Sn at its PBEsol-relaxed geometry.

POSCAR file:
```
SrNb3Sn
1.0
-4.4908 -1.2902 2.1734
1.1488 -4.9890 -0.5879
2.2513 -0.0278 4.6354
Nb Sr Sn
3 1 1
Direct
0.0000 0.5000 0.0000
0.0000 0.0000 0.5000
0.5000 0.0000 0.0000
0.5000 0.5000 0.5000
0.0000 0.0000 0.0000
```

As for the energy: -150.79 eV/cell.

No. 3
DFT (meta-GGA SCAN) results for Nb6BiSe8 at its PBEsol-relaxed geometry.

POSCAR file:
```
Nb6BiSe8
1.0
3.4344 0.0000 0.0000
0.0000 9.9624 0.0000
0.0000 -4.9812 8.6277
Se Bi Nb
8 1 6
Direct
0.7501 0.6667 0.3333
0.7500 0.6650 0.7238
0.2499 0.3333 0.6667
0.2500 0.7238 0.0587
0.2500 0.9413 0.6650
0.2500 0.3350 0.2762
0.7500 0.2762 0.9413
0.7500 0.0587 0.3350
0.5000 0.0000 0.0000
0.2506 0.8903 0.3776
0.7494 0.3776 0.4873
0.2506 0.6224 0.5127
0.7494 0.5127 0.8903
0.2506 0.4873 0.1097
0.7494 0.1097 0.6224
```

For the formation energy without anion corrections, the calculation gives -77.62 kJ/mol of atoms.

No. 4
DFT (meta-GGA SCAN) results for Li2CaFe at its PBEsol-relaxed geometry.

POSCAR file:
```
Li2CaFe
1.0
-2.7937 2.7644 2.6793
-4.5723 0.6009 -1.1654
-3.4130 -1.9517 2.6772
Li Fe Ca
2 1 1
Direct
0.2500 0.2500 0.2500
0.7500 0.7500 0.7500
0.5000 0.5000 0.5000
0.0000 0.0000 0.0000
```

The value obtained for the energy above the most stable polymorph in this dataset is 9.9 meV/atom.

No. 5
DFT (meta-GGA SCAN) results for FeSbSe2 at its PBEsol-relaxed geometry.

POSCAR file:
```
FeSbSe2
1.0
3.4245 0.0447 0.0428
1.6654 2.9925 0.0428
1.6063 0.9585 8.2754
Sb Se Fe
1 2 1
Direct
0.0000 0.0000 0.0000
0.1145 0.1145 0.6538
0.8855 0.8855 0.3462
0.5000 0.5000 0.5000
```

For the formation energy without anion corrections, the calculation gives -13.38 kJ/mol of atoms.

No. 6
DFT (meta-GGA SCAN) results for GaBiIO2 at its PBEsol-relaxed geometry.

POSCAR file:
```
GaBiIO2
1.0
-2.8266 -2.2256 -2.1351
-0.4655 -2.5551 3.2796
-3.7729 3.0362 1.8300
Bi I O Ga
1 1 2 1
Direct
0.5000 0.5000 0.5000
0.0000 0.0000 0.5000
0.0000 0.5000 0.0000
0.5000 0.0000 0.0000
0.0000 0.0000 0.0000
```

For the formation energy without anion corrections, the calculation gives -8.90 kJ/mol of atoms.

No. 7
DFT (meta-GGA SCAN) results for LiNiAs3 at its PBEsol-relaxed geometry.

POSCAR file:
```
LiNiAs3
1.0
4.3813 0.0000 0.0000
0.0000 4.3813 0.0000
0.0000 0.0000 4.3813
As Ni Li
3 1 1
Direct
0.5000 0.0000 0.0000
0.0000 0.0000 0.5000
0.0000 0.5000 0.0000
0.5000 0.5000 0.5000
0.0000 0.0000 0.0000
```

The value obtained for the energy above the most stable polymorph in this dataset is 588.8 meV/atom.

No. 8
DFT (meta-GGA SCAN) results for FePBr2 at its PBEsol-relaxed geometry.

POSCAR file:
```
FePBr2
1.0
3.2182 0.0000 0.0000
0.0000 3.2182 0.0000
0.0000 0.0000 7.9609
Br P Fe
2 1 1
Direct
0.5000 0.5000 0.3079
0.0000 0.0000 0.9478
0.5000 0.5000 0.5859
0.0000 0.0000 0.6584
```

For the formation energy without anion corrections, the calculation gives -8.00 kJ/mol of atoms. The value obtained for the energy above the most stable polymorph in this dataset is 0.0 meV/atom.

No. 9
DFT (meta-GGA SCAN) results for Sc2SnRhC at its PBEsol-relaxed geometry.

POSCAR file:
```
Sc2SnRhC
1.0
-3.4635 -2.7109 -1.9955
3.3460 -2.4596 -2.4661
0.3694 -3.1635 3.6565
Sn Rh C Sc
1 1 1 2
Direct
0.0000 0.0000 0.5000
0.0000 0.0000 0.0000
0.5000 0.5000 0.5000
0.0000 0.5000 0.0000
0.5000 0.0000 0.0000
```

As for the energy: -104.30 eV/cell.

No. 10
DFT (meta-GGA SCAN) results for Cr2HgRu at its PBEsol-relaxed geometry.

POSCAR file:
```
Cr2HgRu
1.0
-0.4699 2.6009 -1.2548
-4.3129 -0.9844 -0.4252
1.6108 0.9296 4.7345
Ru Hg Cr
1 1 2
Direct
0.2745 0.7745 0.5490
0.4916 0.4916 0.9833
0.7203 0.2203 0.4406
0.0136 0.0136 0.0271
```

As for the energy: -138.42 eV/cell.

No. 11
DFT (meta-GGA SCAN) results for SiAsP2F at its PBEsol-relaxed geometry.

POSCAR file:
```
SiAsP2F
1.0
4.3456 0.0000 0.0000
0.0000 4.3456 0.0000
0.0000 0.0000 4.3846
F As P Si
1 1 2 1
Direct
0.0000 0.0000 0.0000
0.0000 0.0000 0.5000
0.5000 0.0000 0.0000
0.0000 0.5000 0.0000
0.5000 0.5000 0.5000
```

For the formation energy without anion corrections, the calculation gives 86.81 kJ/mol of atoms.

No. 12
DFT (meta-GGA SCAN) results for CuPtBr2 at its PBEsol-relaxed geometry.

POSCAR file:
```
CuPtBr2
1.0
3.3855 0.0000 0.0000
-1.6928 3.2243 0.0000
0.0000 0.0000 7.4436
Pt Br Cu
1 2 1
Direct
0.5000 0.0000 0.0000
0.0000 0.0000 0.7405
0.0000 0.0000 0.2595
0.5000 0.0000 0.5000
```

For the formation energy without anion corrections, the calculation gives 35.81 kJ/mol of atoms. The value obtained for the energy above the most stable polymorph in this dataset is 141.2 meV/atom.

no.,total moment (Bohr magnetons per cell)
1,0.00
2,0.95
3,0.00
4,2.32
5,1.05
6,0.00
7,0.00
8,2.92
9,0.00
10,0.51
11,0.00
12,0.00